[1]
LaEr2Ga, relaxed, DFT PBE; energy above the lowest structure with this stoichiometry = 69 meV per atom; crystal system = tetragonal; energy relative to the elements = -0.21 eV/atom; Fermi-level density of states = 5.832 states/eV/f.u.
1.0
-3.327 -3.366 0.087
1.804 -1.677 4.120
-2.899 2.929 2.461
La Ga Er
1 1 2
Direct
0.500 0.500 0.500
0.500 0.000 0.000
0.000 0.000 0.500
0.000 0.500 0.000



[2]
La3ErGa4, relaxed, DFT PBE; crystal system = tetragonal; energy relative to the elements = -0.57 eV/atom; Fermi-level density of states = 4.281 states/eV/f.u.
1.0
3.696 0.000 0.000
0.000 3.696 0.000
0.000 0.000 14.984
Er Ga La
1 4 3
Direct
0.500 0.500 0.000
0.000 0.000 0.893
0.000 0.000 0.107
0.000 0.000 0.371
0.000 0.000 0.629
0.500 0.500 0.242
0.500 0.500 0.500
0.500 0.500 0.758



[3]
LaErGa, relaxed, DFT PBE; energy above the lowest structure with this stoichiometry = 6 meV per atom; crystal system = monoclinic; energy relative to the elements = -0.39 eV/atom; Fermi-level density of states = 3.154 states/eV/f.u.
1.0
3.778 0.001 -0.001
-0.001 5.342 0.289
-1.885 -0.454 8.298
La Er Ga
2 2 2
Direct
0.858 0.527 0.403
0.002 0.024 0.690
0.703 0.026 0.093
0.157 0.525 0.000
0.520 0.524 0.726
0.340 0.027 0.367



[4]
LaEr2Ga, relaxed, DFT PBE; energy above the lowest structure with this stoichiometry = 169 meV per atom; crystal system = trigonal; energy relative to the elements = -0.11 eV/atom; Fermi-level density of states = 4.266 states/eV/f.u.
1.0
-4.030 0.742 -2.686
-1.453 -3.390 -3.226
-5.044 -3.427 2.153
La Er Ga
1 2 1
Direct
0.491 0.491 0.527
0.047 0.047 0.858
0.276 0.276 0.172
0.686 0.686 0.942



[5]
La5ErGa4, relaxed, DFT PBE; crystal system = monoclinic; energy relative to the elements = -0.36 eV/atom; Fermi-level density of states = 10.135 states/eV/f.u.
1.0
4.269 0.000 0.000
0.000 8.333 1.449
-2.134 0.216 8.476
La Er Ga
5 1 4
Direct
0.826 0.574 0.653
0.827 0.118 0.655
0.173 0.882 0.345
0.500 0.500 0.000
0.174 0.426 0.347
0.500 0.000 0.000
0.362 0.830 0.724
0.969 0.776 0.938
0.638 0.170 0.276
0.031 0.224 0.062



[6]
LaEr2Ga, relaxed, DFT PBE; energy above the lowest structure with this stoichiometry = 220 meV per atom; crystal system = trigonal; energy relative to the elements = -0.06 eV/atom; Fermi-level density of states = 5.087 states/eV/f.u.
1.0
3.492 0.000 0.000
1.746 3.024 0.000
1.746 1.008 11.218
La Ga Er
1 1 2
Direct
0.000 0.000 0.000
0.500 0.500 0.500
0.103 0.103 0.691
0.897 0.897 0.309



[7]
LaErGa, relaxed, DFT PBE; energy above the lowest structure with this stoichiometry = 0 meV per atom; crystal system = tetragonal; energy relative to the elements = -0.40 eV/atom; Fermi-level density of states = 3.094 states/eV/f.u.
1.0
-4.514 0.929 -0.904
-0.481 -4.243 -1.956
-2.012 -2.987 6.975
La Er Ga
2 2 2
Direct
0.000 0.500 0.859
0.500 0.000 0.141
0.500 0.500 0.500
0.000 0.000 0.500
0.000 0.500 0.256
0.500 0.000 0.744



[8]
LaErGa, relaxed, DFT PBE; energy above the lowest structure with this stoichiometry = 221 meV per atom; crystal system = orthorhombic; energy relative to the elements = -0.17 eV/atom; Fermi-level density of states = 4.513 states/eV/f.u.
1.0
5.583 0.000 0.000
0.000 3.812 0.000
0.000 0.000 8.887
Ga Er La
2 2 2
Direct
0.000 0.452 0.250
0.000 0.548 0.750
0.000 0.000 0.000
0.000 0.000 0.500
0.500 0.742 0.250
0.500 0.258 0.750